! PBE Sb3Au, optimized geometry; values from VASP
&SYSTEM
  ibrav = 0, nat = 4, ntyp = 2
/
ATOMIC_SPECIES
Sb 121.76 Sb.upf
Au 196.97 Au.upf
CELL_PARAMETERS angstrom
4.222 0.000 0.000
0.000 4.432 0.000
0.000 0.000 5.772
ATOMIC_POSITIONS crystal
Sb 0.000 0.000 0.000
Sb 0.000 0.500 0.366
Sb 0.500 0.500 0.738
Au 0.500 0.000 0.367
! Relative energy among the computed polymorphs = 160.9 meV per atom
! Uncorrected formation energy = 0.587 eV/f.u.
! Crystal system = orthorhombic
! M_tot = 0.00 μB per atom

=====

! PBE Sb3Au5, optimized geometry; values from VASP
&SYSTEM
  ibrav = 0, nat = 8, ntyp = 2
/
ATOMIC_SPECIES
Sb 121.76 Sb.upf
Au 196.97 Au.upf
CELL_PARAMETERS angstrom
3.036 0.000 0.000
0.000 7.269 0.000
-0.029 0.000 8.169
ATOMIC_POSITIONS crystal
Sb 0.000 0.000 0.000
Sb 0.154 0.500 0.002
Sb 0.825 0.000 0.501
Au 0.000 0.268 0.266
Au 0.000 0.732 0.266
Au 0.001 0.269 0.736
Au 0.001 0.731 0.736
Au 0.501 0.500 0.501
! Relative energy among the computed polymorphs = 0.0 meV per atom
! Uncorrected formation energy = 0.270 eV/f.u.
! Crystal system = monoclinic
! M_tot = 0.00 μB per atom

=====

! PBE Sb4Au, optimized geometry; values from VASP
&SYSTEM
  ibrav = 0, nat = 5, ntyp = 2
/
ATOMIC_SPECIES
Sb 121.76 Sb.upf
Au 196.97 Au.upf
CELL_PARAMETERS angstrom
-2.983 2.983 4.235
2.983 -2.983 4.235
2.983 2.983 -4.235
ATOMIC_POSITIONS crystal
Sb 0.180 0.180 0.000
Sb 0.250 0.750 0.500
Sb 0.750 0.250 0.500
Sb 0.820 0.820 0.000
Au 0.500 0.500 0.000
! Relative energy among the computed polymorphs = 214.8 meV per atom
! Uncorrected formation energy = 1.181 eV/f.u.
! Crystal system = tetragonal
! M_tot = 0.00 μB per atom

=====

! PBE Sb3Au5, optimized geometry; values from VASP
&SYSTEM
  ibrav = 0, nat = 16, ntyp = 2
/
ATOMIC_SPECIES
Sb 121.76 Sb.upf
Au 196.97 Au.upf
CELL_PARAMETERS angstrom
8.871 0.000 0.000
-4.435 7.682 0.000
0.000 0.000 5.282
ATOMIC_POSITIONS crystal
Sb 0.000 0.375 0.250
Sb 0.000 0.625 0.750
Sb 0.375 0.000 0.250
Sb 0.375 0.375 0.750
Sb 0.625 0.000 0.750
Sb 0.625 0.625 0.250
Au 0.000 0.197 0.750
Au 0.000 0.803 0.250
Au 0.197 0.000 0.750
Au 0.197 0.197 0.250
Au 0.333 0.667 0.000
Au 0.333 0.667 0.500
Au 0.667 0.333 0.000
Au 0.667 0.333 0.500
Au 0.803 0.000 0.250
Au 0.803 0.803 0.750
! Relative energy among the computed polymorphs = 83.2 meV per atom
! Uncorrected formation energy = 0.935 eV/f.u.
! Crystal system = hexagonal
! M_tot = 0.00 μB per atom

=====

! PBE SbAu3, optimized geometry; values from VASP
&SYSTEM
  ibrav = 0, nat = 4, ntyp = 2
/
ATOMIC_SPECIES
Sb 121.76 Sb.upf
Au 196.97 Au.upf
CELL_PARAMETERS angstrom
-2.148 2.148 4.327
2.148 -2.148 4.327
2.148 2.148 -4.327
ATOMIC_POSITIONS crystal
Sb 0.000 0.000 0.000
Au 0.250 0.750 0.500
Au 0.500 0.500 0.000
Au 0.750 0.250 0.500
! Uncorrected formation energy = 0.224 eV/f.u.
! Crystal system = tetragonal
! M_tot = 0.00 μB per atom

=====

! PBE SbAu3, optimized geometry; values from VASP
&SYSTEM
  ibrav = 0, nat = 4, ntyp = 2
/
ATOMIC_SPECIES
Sb 121.76 Sb.upf
Au 196.97 Au.upf
CELL_PARAMETERS angstrom
5.264 0.000 0.000
0.000 5.264 0.000
0.000 0.000 5.264
ATOMIC_POSITIONS crystal
Sb 0.000 0.000 0.000
Au 0.000 0.000 0.500
Au 0.000 0.500 0.000
Au 0.500 0.000 0.000
! Uncorrected formation energy = 1.582 eV/f.u.
! Crystal system = cubic
! M_tot = 0.00 μB per atom

=====

Look up the uncorrected formation energy of the second one.
0.270 eV/f.u.